Record 1
The following is a DFT calculation (PBE) of a relaxed structure of Pr12Nd2Tm5.

Output
ΔE to the lowest computed polymorph, meV per atom: 0
ΔH_f (0 K), meV per atom: 110

Cell: 11.780 8.821 9.524 Å, 70.72 90.00 131.89°
Fractional coordinates of all 19 atoms:
Pr 0.173 0.783 0.417
Pr 0.951 0.390 0.199
Nd 0.275 0.000 0.000
Pr 0.827 0.217 0.583
Pr 0.116 0.231 0.060
Pr 0.049 0.610 0.801
Tm 0.000 0.000 0.500
Tm 0.309 0.619 0.236
Pr 0.611 0.783 0.417
Tm 0.691 0.381 0.764
Pr 0.422 0.844 0.785
Pr 0.389 0.217 0.583
Pr 0.578 0.156 0.215
Pr 0.884 0.769 0.940
Nd 0.725 0.000 0.000
Pr 0.438 0.390 0.199
Tm 0.196 0.392 0.660
Tm 0.804 0.608 0.340
Pr 0.562 0.610 0.801

***

Record 2
The following is a DFT calculation (PBE) of a relaxed structure of Ca3Sn5.

Output
ΔH_f (0 K), meV per atom: -516

Cell: 6.630 6.630 10.587 Å, 90.00 90.00 102.42°
Fractional coordinates of all 16 atoms:
Sn 0.305 0.305 0.547
Ca 0.794 0.206 0.000
Sn 0.496 0.074 0.750
Sn 0.926 0.504 0.250
Ca 0.794 0.206 0.500
Sn 0.305 0.305 0.953
Ca 0.206 0.794 0.000
Sn 0.695 0.695 0.047
Sn 0.022 0.022 0.750
Sn 0.074 0.496 0.750
Sn 0.695 0.695 0.453
Ca 0.206 0.794 0.500
Sn 0.978 0.978 0.250
Ca 0.628 0.628 0.750
Sn 0.504 0.926 0.250
Ca 0.372 0.372 0.250

***

Record 3
The following is a DFT calculation (PBE) of a relaxed structure of YPbAu2.

Output
ΔH_f (0 K), meV per atom: -493

Cell: 4.540 3.953 5.817 Å, 69.72 90.00 90.00°
Fractional coordinates of all 4 atoms:
Y 0.500 0.768 0.846
Au 0.000 0.211 0.956
Au 0.500 0.044 0.284
Pb 0.000 0.477 0.415

***

Record 4
The following is a DFT calculation (PBE) of a relaxed structure of MgTc4Rh.

Output
ΔH_f (0 K), meV per atom: 265

Cell: 5.124 5.124 5.124 Å, 60.00 60.00 60.00°
Fractional coordinates of all 6 atoms:
Rh 0.000 0.000 0.000
Tc 0.375 0.875 0.375
Tc 0.875 0.375 0.375
Tc 0.375 0.375 0.375
Tc 0.375 0.375 0.875
Mg 0.750 0.750 0.750

***

Record 5
The following is a DFT calculation (PBE) of a relaxed structure of Ga3SiMo.

Output
ΔE_f (raw), eV per atom: 0.781
ΔE to the lowest computed polymorph, meV per atom: 0

Cell: 4.883 4.883 4.883 Å, 90.00 90.00 90.00°
Fractional coordinates of all 5 atoms:
Si 0.500 0.500 0.500
Ga 0.500 0.000 0.000
Ga 0.000 0.000 0.500
Mo 0.000 0.000 0.000
Ga 0.000 0.500 0.000

***

Record 6
The following is a DFT calculation (PBE) of a relaxed structure of TaTlFe.

Output
ΔH_f (0 K), meV per atom: 1106

Cell: 4.489 4.489 4.489 Å, 60.00 60.00 60.00°
Fractional coordinates of all 3 atoms:
Fe 0.500 0.500 0.500
Ta 0.750 0.750 0.750
Tl 0.000 0.000 0.000

***

Record 7
The following is a DFT calculation (PBE) of a relaxed structure of Pm6YTm.

Output
ΔE to the lowest computed polymorph, meV per atom: 164
ΔH_f (0 K), meV per atom: 180

Cell: 6.865 6.585 6.998 Å, 100.91 61.07 89.47°
Fractional coordinates of all 8 atoms:
Pm 0.446 0.251 0.001
Pm 0.570 0.766 0.525
Tm 0.000 0.500 0.000
Pm 0.097 0.730 0.467
Y 0.000 0.000 0.000
Pm 0.554 0.749 0.999
Pm 0.430 0.234 0.475
Pm 0.903 0.270 0.533

***

Record 8
The following is a DFT calculation (PBE) of a relaxed structure of Sc2AlCo3.

Output
ΔE to the lowest computed polymorph, meV per atom: 0
ΔH_f (0 K), meV per atom: -452

Cell: 5.068 5.068 7.704 Å, 90.00 90.00 120.00°
Fractional coordinates of all 12 atoms:
Al 0.000 0.000 0.500
Co 0.651 0.825 0.250
Al 0.000 0.000 0.000
Sc 0.667 0.333 0.437
Co 0.175 0.349 0.250
Co 0.175 0.825 0.250
Co 0.825 0.175 0.750
Co 0.349 0.175 0.750
Sc 0.667 0.333 0.063
Co 0.825 0.651 0.750
Sc 0.333 0.667 0.937
Sc 0.333 0.667 0.563

***

Record 9
The following is a DFT calculation (PBE) of a relaxed structure of Ce2DyP.

Output
ΔE to the lowest computed polymorph, meV per atom: 158
ΔH_f (0 K), meV per atom: -394

Cell: 3.722 3.722 10.143 Å, 79.43 79.43 60.00°
Fractional coordinates of all 4 atoms:
Dy 0.000 0.000 0.000
P 0.500 0.500 0.500
Ce 0.108 0.108 0.676
Ce 0.892 0.892 0.324

***

Record 10
The following is a DFT calculation (PBE) of a relaxed structure of PmZn4Ag.

Output
ΔE to the lowest computed polymorph, meV per atom: 55
ΔH_f (0 K), meV per atom: -194

Cell: 4.165 6.656 8.494 Å, 90.00 104.19 90.00°
Fractional coordinates of all 12 atoms:
Pm 0.886 0.750 0.772
Zn 0.500 0.500 0.000
Pm 0.114 0.250 0.228
Zn 0.929 0.250 0.857
Zn 0.071 0.750 0.143
Zn 0.338 0.442 0.676
Zn 0.662 0.942 0.324
Ag 0.765 0.250 0.531
Ag 0.235 0.750 0.469
Zn 0.338 0.058 0.676
Zn 0.662 0.558 0.324
Zn 0.500 0.000 0.000

***

Record 11
The following is a DFT calculation (PBE) of a relaxed structure of MgTlSbI6.

Output
ΔE_f (raw), eV per atom: -0.629

Cell: 7.710 7.710 7.749 Å, 90.01 89.99 59.99°
Fractional coordinates of all 9 atoms:
Sb 0.333 0.333 0.500
I 0.990 0.371 0.277
I 0.371 0.990 0.723
I 0.639 0.371 0.723
Tl 0.000 0.000 0.000
I 0.989 0.640 0.723
Mg 0.667 0.667 0.500
I 0.371 0.639 0.277
I 0.640 0.989 0.277

***

Record 12
The following is a DFT calculation (PBE) of a relaxed structure of RbMnBiCl6.

Output
ΔE_f (raw), eV per atom: -1.280

Cell: 6.942 6.942 14.496 Å, 90.00 90.00 120.00°
Fractional coordinates of all 18 atoms:
Cl 0.385 0.020 0.147
Mn 0.667 0.333 0.250
Cl 0.385 0.365 0.353
Mn 0.333 0.667 0.750
Cl 0.980 0.365 0.147
Bi 0.667 0.333 0.750
Cl 0.365 0.980 0.647
Cl 0.635 0.615 0.147
Cl 0.020 0.635 0.853
Cl 0.615 0.980 0.853
Bi 0.333 0.667 0.250
Cl 0.020 0.385 0.647
Cl 0.980 0.615 0.353
Rb 0.000 0.000 0.500
Cl 0.635 0.020 0.353
Rb 0.000 0.000 0.000
Cl 0.365 0.385 0.853
Cl 0.615 0.635 0.647

***

Record 13
The following is a DFT calculation (PBE) of a relaxed structure of Ru2WBr.

Output
ΔE_f (raw), eV per atom: 0.660
ΔE to the lowest computed polymorph, meV per atom: 225

Cell: 2.870 2.870 9.051 Å, 90.00 90.00 113.43°
Fractional coordinates of all 4 atoms:
Ru 0.000 0.000 0.470
Ru 0.000 0.000 0.030
Br 0.500 0.500 0.750
W 0.500 0.500 0.250

***

Record 14
The following is a DFT calculation (PBE) of a relaxed structure of BaLiGa3.

Output
ΔE to the lowest computed polymorph, meV per atom: 87
ΔH_f (0 K), meV per atom: -261

Cell: 4.291 4.911 12.859 Å, 101.01 90.00 90.00°
Fractional coordinates of all 10 atoms:
Ga 0.750 0.526 0.051
Ga 0.250 0.687 0.373
Li 0.250 0.795 0.590
Ba 0.250 0.080 0.161
Ga 0.250 0.368 0.737
Ga 0.750 0.632 0.263
Ga 0.750 0.313 0.627
Ga 0.250 0.474 0.949
Li 0.750 0.205 0.410
Ba 0.750 0.920 0.839

***

Record 15
The following is a DFT calculation (PBE) of a relaxed structure of TbGdSn2.

Output
ΔE to the lowest computed polymorph, meV per atom: 91
ΔH_f (0 K), meV per atom: -579

Cell: 5.385 5.385 5.385 Å, 60.00 60.00 60.00°
Fractional coordinates of all 4 atoms:
Tb 0.000 0.000 0.000
Gd 0.500 0.500 0.500
Sn 0.750 0.750 0.750
Sn 0.250 0.250 0.250

***

Record 16
The following is a DFT calculation (PBE) of a relaxed structure of HfScGa4.

Output
ΔE to the lowest computed polymorph, meV per atom: 134
ΔH_f (0 K), meV per atom: -307

Cell: 3.292 3.292 10.522 Å, 89.99 89.99 77.79°
Fractional coordinates of all 6 atoms:
Ga 0.999 0.999 0.321
Sc 0.500 0.500 0.500
Ga 0.500 0.500 0.174
Hf 0.000 0.000 0.000
Ga 0.001 0.001 0.679
Ga 0.500 0.500 0.826

***

Record 17
The following is a DFT calculation (PBE) of a relaxed structure of LiScGe.

Output
ΔH_f (0 K), meV per atom: -612

Cell: 7.416 6.514 4.285 Å, 90.00 90.00 90.00°
Fractional coordinates of all 12 atoms:
Sc 0.000 0.500 0.000
Li 0.667 0.250 0.000
Li 0.833 0.750 0.500
Sc 0.500 0.000 0.500
Ge 0.167 0.750 0.500
Ge 0.333 0.250 0.000
Ge 0.667 0.750 0.000
Ge 0.833 0.250 0.500
Sc 0.000 0.000 0.000
Li 0.333 0.750 0.000
Sc 0.500 0.500 0.500
Li 0.167 0.250 0.500

***

Record 18
The following is a DFT calculation (PBE) of a relaxed structure of MnNb2ReTe.

Output
ΔE_f (raw), eV per atom: 1.004

Cell: 4.899 4.791 4.899 Å, 90.00 90.00 90.00°
Fractional coordinates of all 5 atoms:
Re 0.000 0.000 0.000
Nb 0.000 0.000 0.500
Mn 0.000 0.500 0.000
Nb 0.500 0.000 0.000
Te 0.500 0.500 0.500

***

Record 19
The following is a DFT calculation (PBE) of a relaxed structure of Ho4InFe.

Output
ΔH_f (0 K), meV per atom: -193

Cell: 5.992 8.976 7.737 Å, 115.67 99.62 112.30°
Fractional coordinates of all 12 atoms:
Ho 0.087 0.200 0.846
In 0.376 0.626 0.252
Fe 0.249 0.999 0.998
In 0.624 0.374 0.748
Ho 0.913 0.800 0.154
Ho 0.259 0.646 0.846
Ho 0.223 0.269 0.325
Ho 0.398 0.945 0.675
Fe 0.751 0.001 0.002
Ho 0.777 0.731 0.675
Ho 0.741 0.354 0.154
Ho 0.602 0.055 0.325

***

Record 20
The following is a DFT calculation (PBE) of a relaxed structure of ScPa5.

Output
ΔE to the lowest computed polymorph, meV per atom: 18
ΔH_f (0 K), meV per atom: 71

Cell: 3.230 5.499 8.747 Å, 108.32 90.00 90.00°
Fractional coordinates of all 6 atoms:
Pa 0.500 0.500 0.000
Pa 0.500 0.828 0.656
Pa 0.000 0.661 0.323
Pa 0.000 0.339 0.677
Sc 0.000 0.000 0.000
Pa 0.500 0.172 0.344

***

Record 21
The following is a DFT calculation (PBE) of a relaxed structure of BaAgOF2.

Output
ΔE_f (raw), eV per atom: -1.488
ΔE to the lowest computed polymorph, meV per atom: 487

Cell: 5.041 5.041 4.556 Å, 90.00 90.00 90.00°
Fractional coordinates of all 5 atoms:
F 0.000 0.500 0.000
Ba 0.000 0.000 0.000
O 0.000 0.000 0.500
Ag 0.500 0.500 0.500
F 0.500 0.000 0.000

***

Record 22
The following is a DFT calculation (PBE) of a relaxed structure of Te2AsW.

Output
ΔE_f (raw), eV per atom: 0.368

Cell: 7.508 7.508 7.508 Å, 154.53 147.23 41.96°
Fractional coordinates of all 4 atoms:
Te 0.086 0.086 0.000
W 0.250 0.750 0.500
As 0.750 0.250 0.500
Te 0.414 0.414 0.000

***

Record 23
The following is a DFT calculation (PBE) of a relaxed structure of CsInFe2Br.

Output
ΔE_f (raw), eV per atom: 1.547

Cell: 5.899 6.484 5.899 Å, 90.00 90.00 90.00°
Fractional coordinates of all 5 atoms:
Br 0.000 0.500 0.000
Cs 0.000 0.000 0.000
Fe 0.000 0.000 0.500
In 0.500 0.500 0.500
Fe 0.500 0.000 0.000

***

Record 24
The following is a DFT calculation (PBE) of a relaxed structure of Li4TlPd2.

Output
ΔE to the lowest computed polymorph, meV per atom: 0
ΔH_f (0 K), meV per atom: -338

Cell: 7.230 4.893 6.889 Å, 110.80 86.81 90.00°
Fractional coordinates of all 14 atoms:
Pd 0.682 0.534 0.420
Li 0.462 0.001 0.682
Pd 0.818 0.115 0.580
Li 0.108 0.244 0.812
Tl 0.750 0.166 0.000
Li 0.038 0.319 0.318
Pd 0.182 0.885 0.420
Li 0.538 0.999 0.318
Tl 0.250 0.834 0.000
Pd 0.318 0.466 0.580
Li 0.392 0.432 0.188
Li 0.892 0.756 0.188
Li 0.962 0.681 0.682
Li 0.608 0.568 0.812